Entry from the Alexandria database: Ba5As3ClO12 at its PBEsol-relaxed geometry (meta-GGA SCAN).

Calculated values
The value obtained for the size of the total moment is 0.00 μB/f.u. The formation energy (no corrections) comes out at -2545 meV per atom. As for the mass density: 5.05 g/cm³. The calculation puts the final energy at -18.787 eV per atom.

Lattice parameters (Å, degrees): 7.743 10.569 10.569 120.00 90.00 90.00
Element x y z (fractional)
Ba1 0.250 0.745 0.989
Ba2 0.750 0.255 0.011
Ba3 0.250 0.011 0.756
Ba4 0.750 0.756 0.745
Ba5 0.499 0.333 0.667
Ba6 0.999 0.667 0.333
Ba7 0.750 0.989 0.244
Ba8 0.001 0.333 0.667
Ba9 0.250 0.244 0.255
Ba10 0.501 0.667 0.333
Cl1 0.000 0.000 0.000
Cl2 0.500 0.000 0.000
O1 0.572 0.260 0.356
O2 0.250 0.520 0.671
O3 0.072 0.356 0.096
O4 0.750 0.849 0.520
O5 0.750 0.671 0.151
O6 0.928 0.096 0.740
O7 0.250 0.594 0.123
O8 0.250 0.151 0.480
O9 0.750 0.123 0.529
O10 0.928 0.260 0.356
O11 0.250 0.529 0.406
O12 0.072 0.904 0.260
O13 0.750 0.406 0.877
O14 0.428 0.740 0.644
O15 0.928 0.644 0.904
O16 0.572 0.096 0.740
O17 0.428 0.904 0.260
O18 0.572 0.644 0.904
O19 0.428 0.356 0.096
O20 0.750 0.480 0.329
O21 0.750 0.471 0.594
O22 0.072 0.740 0.644
O23 0.250 0.329 0.849
O24 0.250 0.877 0.471
As1 0.750 0.594 0.965
As2 0.750 0.371 0.406
As3 0.250 0.965 0.371
As4 0.750 0.035 0.629
As5 0.250 0.629 0.594
As6 0.250 0.406 0.035